No. 1
! Dy2ErTm2Mg2 (PBE, optimized geometry); values from VASP
! Formation enthalpy at 0 K, meV/atom: -16
! Theoretical density, g cm⁻³: 7.306
! Crystal system: trigonal
&SYSTEM
  ibrav = 0, nat = 7, ntyp = 4
/
ATOMIC_SPECIES
Dy 162.50 Dy.upf
Er 167.26 Er.upf
Tm 168.93 Tm.upf
Mg 24.30 Mg.upf
ATOMIC_POSITIONS angstrom
Dy -4.0565 -2.7730 4.4227
Dy -6.7164 -0.6075 5.0917
Er 0.0000 0.0000 0.0000
Tm -4.4348 0.5728 2.8166
Tm -6.3381 -3.9532 6.6978
Mg -8.7771 -1.9676 7.3112
Mg -1.9958 -1.4129 2.2032
CELL_PARAMETERS angstrom
-3.1940 -4.2310 0.9965
-0.3608 -1.9882 5.0013
-7.2182 2.8387 3.5167



No. 2
! PrMg2ScCd4 (PBE, optimized geometry); values from VASP
! Formation enthalpy at 0 K, meV/atom: -287
! Theoretical density, g cm⁻³: 6.118
! Crystal system: trigonal
&SYSTEM
  ibrav = 0, nat = 8, ntyp = 4
/
ATOMIC_SPECIES
Pr 140.91 Pr.upf
Mg 24.30 Mg.upf
Sc 44.96 Sc.upf
Cd 112.41 Cd.upf
ATOMIC_POSITIONS angstrom
Pr 0.0000 0.0000 0.0000
Mg -0.7698 -8.1943 -6.9431
Mg -0.2742 -2.7591 -2.3096
Sc -0.5220 -5.4767 -4.6264
Cd -2.0963 -7.9559 -4.2048
Cd 0.8247 -5.6832 -7.3700
Cd -1.8687 -5.2701 -1.8827
Cd 1.0523 -2.9975 -5.0479
CELL_PARAMETERS angstrom
-0.7325 -0.3827 -4.9864
3.2893 -2.5729 -2.8474
-3.6008 -7.9978 -1.4189



No. 3
! MnZnNiAs (PBE, optimized geometry); values from VASP
! Formation enthalpy at 0 K, meV/atom: -50
! Energy above the lowest structure with this stoichiometry, meV/atom: 13
! Theoretical density, g cm⁻³: 7.608
! Crystal system: orthorhombic
&SYSTEM
  ibrav = 0, nat = 8, ntyp = 4
/
ATOMIC_SPECIES
Mn 54.94 Mn.upf
Zn 65.41 Zn.upf
Ni 58.69 Ni.upf
As 74.92 As.upf
ATOMIC_POSITIONS angstrom
Mn 2.2508 0.0000 1.4112
Mn 0.5936 1.5919 6.0651
Zn 0.4521 0.0000 3.4963
Zn -1.2051 1.5919 8.1502
Ni 0.7221 0.0000 8.4120
Ni 2.3793 1.5919 3.7580
As -1.3366 0.0000 5.7551
As 0.3206 1.5919 1.1012
CELL_PARAMETERS angstrom
3.8152 0.0000 -0.2088
0.0000 3.1838 0.0000
-3.3144 0.0000 9.3079



| no. | Fermi-level density of states (states/eV per cell) |
| --- | --- |
| 1 | 8.7 |
| 2 | 3.0 |
| 3 | 6.0 |